Record 1
VASP calculation (GGA-PBE) on HgPd17 after structural relaxation.

Calculated values
- DFT formation energy: 108 kJ/mol of formula units
- ρ: 7.66 g cm⁻³

abc: 4.787 5.531 32.923
angles: 90.00 90.01 90.00
Space group P2_1/m (No. 11)
Asymmetric unit:
Hg (0.166, 0.250, 0.290)
Pd (0.000, 0.000, 0.000)
Pd (0.000, 0.002, 0.208)
Pd (0.165, 0.250, 0.862)
Pd (0.167, 0.250, 0.069)
Pd (0.167, 0.750, 0.069)
Pd (0.167, 0.750, 0.861)
Pd (0.168, 0.750, 0.278)
Pd (0.333, 0.000, 0.931)
Pd (0.334, 0.000, 0.139)
Pd (0.334, 0.005, 0.722)
Pd (0.497, 0.250, 0.209)
Pd (0.498, 0.250, 0.793)
Pd (0.500, 0.250, 0.000)

Record 2
VASP calculation (GGA-PBE) on Hg2Pd3 after structural relaxation.

Calculated values
- DFT formation energy: -19 kJ/mol of formula units
- ρ: 12.83 g cm⁻³

abc: 7.124 7.124 3.673
angles: 90.00 90.00 90.00
Space group P4/mbm (No. 127)
Asymmetric unit:
Hg (0.169, 0.331, 0.000)
Pd (0.000, 0.000, 0.500)
Pd (0.133, 0.633, 0.500)

Record 3
VASP calculation (GGA-PBE) on Hg7Pd10 after structural relaxation.

Calculated values
- DFT formation energy: -202 kJ/mol of formula units
- ρ: 12.94 g cm⁻³

abc: 14.436 12.353 7.110
angles: 90.00 91.83 90.00
Space group C2/m (No. 12)
Asymmetric unit:
Hg (0.038, 0.000, 0.281)
Hg (0.071, 0.273, 0.202)
Hg (0.157, 0.225, 0.606)
Hg (0.165, 0.500, 0.501)
Hg (0.241, 0.500, 0.059)
Pd (0.000, 0.382, 0.500)
Pd (0.057, 0.500, 0.170)
Pd (0.092, 0.120, 0.929)
Pd (0.104, 0.380, 0.854)
Pd (0.148, 0.000, 0.611)
Pd (0.205, 0.115, 0.283)
Pd (0.250, 0.250, 0.000)

Record 4
VASP calculation (GGA-PBE) on HgPd15 after structural relaxation.

Calculated values
- Polymorph energy (0 for the lowest one): 0.040 eV per atom
- DFT formation energy: 86 kJ/mol of formula units
- ρ: 8.04 g cm⁻³

abc: 4.757 34.626 4.756
angles: 90.00 108.76 90.00
Space group P2/c (No. 13)
Asymmetric unit:
Hg (0.000, 0.187, 0.250)
Pd (0.000, 0.233, 0.750)
Pd (0.000, 0.275, 0.250)
Pd (0.000, 0.316, 0.750)
Pd (0.000, 0.357, 0.250)
Pd (0.000, 0.398, 0.750)
Pd (0.000, 0.439, 0.250)
Pd (0.000, 0.480, 0.750)
Pd (0.500, 0.194, 0.750)
Pd (0.500, 0.233, 0.250)
Pd (0.500, 0.275, 0.750)
Pd (0.500, 0.316, 0.250)
Pd (0.500, 0.357, 0.750)
Pd (0.500, 0.398, 0.250)
Pd (0.500, 0.439, 0.750)
Pd (0.500, 0.480, 0.250)

Record 5
VASP calculation (GGA-PBE) on HgPd15 after structural relaxation.

Calculated values
- Polymorph energy (0 for the lowest one): 0.040 eV per atom
- DFT formation energy: 85 kJ/mol of formula units
- ρ: 8.11 g cm⁻³

abc: 5.534 3.869 34.382
angles: 90.00 90.00 90.00
Space group P2_1/m (No. 11)
Asymmetric unit:
Hg (0.125, 0.250, 0.317)
Pd (0.123, 0.250, 0.814)
Pd (0.124, 0.250, 0.730)
Pd (0.125, 0.250, 0.062)
Pd (0.125, 0.250, 0.145)
Pd (0.125, 0.250, 0.228)
Pd (0.125, 0.250, 0.979)
Pd (0.126, 0.250, 0.897)
Pd (0.373, 0.750, 0.186)
Pd (0.374, 0.750, 0.270)
Pd (0.375, 0.750, 0.021)
Pd (0.375, 0.750, 0.690)
Pd (0.375, 0.750, 0.773)
Pd (0.375, 0.750, 0.855)
Pd (0.375, 0.750, 0.938)
Pd (0.376, 0.750, 0.104)

Record 6
VASP calculation (GGA-PBE) on HgPd17 after structural relaxation.

Calculated values
- DFT formation energy: 110 kJ/mol of formula units
- ρ: 7.90 g cm⁻³

abc: 5.5318 5.5318 31.8949
angles: 90.00 90.00 120.00
Space group P-3m1 (No. 164)
Asymmetric unit:
Hg (0.3333, 0.6667, 0.2986)
Pd (0.0000, 0.0000, 0.0000)
Pd (0.0000, 0.0000, 0.2147)
Pd (0.0000, 0.5000, 0.0000)
Pd (0.0013, 0.5007, 0.2156)
Pd (0.1664, 0.3328, 0.7129)
Pd (0.1666, 0.3332, 0.9283)
Pd (0.1669, 0.3337, 0.1435)
Pd (0.3333, 0.6667, 0.0719)
Pd (0.3333, 0.6667, 0.8567)

Record 7
VASP calculation (GGA-PBE) on HgPd15 after structural relaxation.

Calculated values
- Polymorph energy (0 for the lowest one): 0.058 eV per atom
- DFT formation energy: 113 kJ/mol of formula units
- ρ: 8.03 g cm⁻³

abc: 7.716 2.789 34.544
angles: 90.00 90.01 90.00
Space group Pm (No. 6)
Asymmetric unit:
Hg (0.000, 0.000, 0.000)
Hg (0.250, 0.500, 0.629)
Pd (0.000, 0.000, 0.088)
Pd (0.000, 0.000, 0.172)
Pd (0.000, 0.000, 0.253)
Pd (0.000, 0.000, 0.335)
Pd (0.000, 0.000, 0.416)
Pd (0.002, 0.000, 0.499)
Pd (0.003, 0.000, 0.582)
Pd (0.247, 0.500, 0.047)
Pd (0.248, 0.500, 0.130)
Pd (0.250, 0.500, 0.212)
Pd (0.250, 0.500, 0.294)
Pd (0.250, 0.500, 0.375)
Pd (0.250, 0.500, 0.457)
Pd (0.250, 0.500, 0.540)
Pd (0.497, 0.000, 0.582)
Pd (0.498, 0.000, 0.498)
Pd (0.500, 0.000, 0.009)
Pd (0.500, 0.000, 0.089)
Pd (0.500, 0.000, 0.171)
Pd (0.500, 0.000, 0.253)
Pd (0.500, 0.000, 0.335)
Pd (0.500, 0.000, 0.416)
Pd (0.749, 0.500, 0.294)
Pd (0.750, 0.500, 0.212)
Pd (0.750, 0.500, 0.376)
Pd (0.750, 0.500, 0.458)
Pd (0.750, 0.500, 0.539)
Pd (0.750, 0.500, 0.620)
Pd (0.752, 0.500, 0.130)
Pd (0.753, 0.500, 0.047)

Record 8
VASP calculation (GGA-PBE) on Hg2Pd7 after structural relaxation.

Calculated values
- DFT formation energy: 69 kJ/mol of formula units
- ρ: 8.54 g cm⁻³

abc: 2.8300 2.8300 32.1478
angles: 90.00 90.00 120.00
Space group P-3m1 (No. 164)
Asymmetric unit:
Hg (0.3333, 0.6667, 0.2151)
Pd (0.0000, 0.0000, 0.2919)
Pd (0.0000, 0.0000, 0.5000)
Pd (0.3333, 0.6667, 0.4312)
Pd (0.3333, 0.6667, 0.6380)

Record 9
VASP calculation (GGA-PBE) on HgPd2 after structural relaxation.

Calculated values
- DFT formation energy: 11 kJ/mol of formula units
- ρ: 12.86 g cm⁻³

abc: 7.530 7.530 7.530
angles: 90.00 90.00 90.00
Space group Fd-3m (No. 227, origin choice 2)
Asymmetric unit:
Hg (0.125, 0.125, 0.125)
Pd (0.000, 0.000, 0.500)

Record 10
VASP calculation (GGA-PBE) on HgPd10 after structural relaxation.

Calculated values
- DFT formation energy: 45 kJ/mol of formula units
- ρ: 7.97 g cm⁻³

abc: 8.704 3.868 31.324
angles: 90.00 90.27 90.00
Space group C2/m (No. 12)
Asymmetric unit:
Hg (0.154, 0.000, 0.192)
Pd (0.049, 0.000, 0.399)
Pd (0.049, 0.000, 0.687)
Pd (0.051, 0.500, 0.543)
Pd (0.052, 0.500, 0.254)
Pd (0.146, 0.000, 0.775)
Pd (0.150, 0.000, 0.486)
Pd (0.150, 0.500, 0.342)
Pd (0.151, 0.500, 0.630)
Pd (0.248, 0.500, 0.716)
Pd (0.249, 0.500, 0.428)

Record 11
VASP calculation (GGA-PBE) on HgPd9 after structural relaxation.

Calculated values
- Polymorph energy (0 for the lowest one): 0.011 eV per atom
- DFT formation energy: 23 kJ/mol of formula units
- ρ: 9.57 g cm⁻³

abc: 2.834 2.834 50.050
angles: 90.00 90.00 90.00
Space group P4/nmm (No. 129, origin choice 2)
Asymmetric unit:
Hg (0.250, 0.250, 0.138)
Pd (0.250, 0.250, 0.219)
Pd (0.250, 0.250, 0.295)
Pd (0.250, 0.250, 0.369)
Pd (0.250, 0.250, 0.444)
Pd (0.250, 0.250, 0.519)
Pd (0.250, 0.250, 0.593)
Pd (0.250, 0.250, 0.668)
Pd (0.250, 0.250, 0.743)
Pd (0.250, 0.250, 0.820)

Record 12
VASP calculation (GGA-PBE) on HgPd9 after structural relaxation.

Calculated values
- Polymorph energy (0 for the lowest one): 0.000 eV per atom
- DFT formation energy: 13 kJ/mol of formula units
- ρ: 9.15 g cm⁻³

abc: 2.819 3.817 39.086
angles: 90.00 90.00 90.00
Space group Pmmn (No. 59, origin choice 2)
Asymmetric unit:
Hg (0.250, 0.250, 0.149)
Pd (0.250, 0.250, 0.227)
Pd (0.250, 0.250, 0.300)
Pd (0.250, 0.250, 0.372)
Pd (0.250, 0.250, 0.445)
Pd (0.250, 0.250, 0.518)
Pd (0.250, 0.250, 0.592)
Pd (0.250, 0.250, 0.664)
Pd (0.250, 0.250, 0.737)
Pd (0.250, 0.250, 0.811)

Record 13
VASP calculation (GGA-PBE) on HgPd15 after structural relaxation.

Calculated values
- Polymorph energy (0 for the lowest one): 0.022 eV per atom
- DFT formation energy: 57 kJ/mol of formula units
- ρ: 8.90 g cm⁻³

abc: 5.534 2.777 43.622
angles: 90.00 90.00 90.00
Space group P2_1/m (No. 11)
Asymmetric unit:
Hg (0.125, 0.250, 0.155)
Pd (0.124, 0.250, 0.794)
Pd (0.125, 0.250, 0.252)
Pd (0.125, 0.250, 0.342)
Pd (0.125, 0.250, 0.432)
Pd (0.125, 0.250, 0.522)
Pd (0.125, 0.250, 0.613)
Pd (0.125, 0.250, 0.703)
Pd (0.374, 0.750, 0.206)
Pd (0.375, 0.750, 0.297)
Pd (0.375, 0.750, 0.387)
Pd (0.375, 0.750, 0.477)
Pd (0.375, 0.750, 0.568)
Pd (0.375, 0.750, 0.658)
Pd (0.375, 0.750, 0.748)
Pd (0.375, 0.750, 0.839)